[1]
A plane-wave DFT calculation with PBE-GGA was carried out for an optimized crystal structure of ScTlTe2I.

Formation energy from raw total energies: -638 meV/atom
Space-group type: No. 123
Magnetization: 0.00 μB/f.u.
Total energy: -3.94 eV per atom
Excess energy over the best structure of this formula in the dataset: 0.000 eV/atom

Lattice parameters (Å, degrees): 5.5759 5.5759 5.9764 90.00 90.00 90.00
Sites, in units of the cell vectors:
Te  0.5000  0.0000  0.0000
Tl  0.5000  0.5000  0.5000
Sc  0.0000  0.0000  0.0000
I  0.0000  0.0000  0.5000
Te  0.0000  0.5000  0.0000


[2]
A plane-wave DFT calculation with PBE-GGA was carried out for an optimized crystal structure of LiGaC.

Energy of formation from the pure elements: 0.51 eV per formula unit
Space-group type: No. 65
Magnetization: 0.00 μB/f.u.
Total energy: -4.55 eV per atom

Lattice parameters (Å, degrees): 5.4195 5.4195 3.1083 90.00 90.00 64.34
Sites, in units of the cell vectors:
Li  0.7614  0.2386  0.0000
C  0.5718  0.5718  0.5000
Ga  0.7402  0.7402  0.0000
Ga  0.2598  0.2598  0.0000
C  0.4282  0.4282  0.5000
Li  0.2386  0.7614  0.0000


[3]
A plane-wave DFT calculation with PBE-GGA was carried out for an optimized crystal structure of BAu.

Energy of formation from the pure elements: 1.19 eV per formula unit
Space-group type: No. 140
Magnetization: 0.00 μB/f.u.
Total energy: -4.38 eV per atom

Lattice parameters (Å, degrees): 7.1321 7.1321 5.1075 90.00 90.00 90.00
Sites, in units of the cell vectors:
Au  0.7935  0.2935  0.0000
B  0.5836  0.9164  0.5000
B  0.9164  0.4164  0.5000
Au  0.2935  0.7935  0.5000
B  0.0836  0.4164  0.0000
B  0.0836  0.5836  0.5000
B  0.9164  0.5836  0.0000
Au  0.7065  0.2065  0.5000
B  0.5836  0.0836  0.0000
Au  0.7935  0.7065  0.5000
Au  0.2935  0.2065  0.0000
B  0.4164  0.0836  0.5000
Au  0.2065  0.2935  0.5000
Au  0.7065  0.7935  0.0000
Au  0.2065  0.7065  0.0000
B  0.4164  0.9164  0.0000


[4]
A plane-wave DFT calculation with PBE-GGA was carried out for an optimized crystal structure of Ag2RhSe.

Formation energy from raw total energies: 110 meV/atom
Space-group type: No. 44
Magnetization: 0.00 μB/f.u.
Total energy: -4.02 eV per atom

Lattice parameters (Å, degrees): 5.5289 5.5289 5.5289 145.13 130.69 61.81
Sites, in units of the cell vectors:
Ag  0.7249  0.2249  0.5000
Se  0.2892  0.7892  0.5000
Ag  0.0168  0.0168  0.0000
Rh  0.4690  0.4690  0.0000


[5]
A plane-wave DFT calculation with PBE-GGA was carried out for an optimized crystal structure of GdZrRh.

Energy of formation from the pure elements: -1.34 eV per formula unit
Space-group type: No. 107
Magnetization: 8.09 μB/f.u.
Total energy: -10.44 eV per atom

Lattice parameters (Å, degrees): 3.4228 3.4228 6.1995 106.02 106.02 90.00
Last column: magnetic moment on the atom in μB.
Sites, in units of the cell vectors:
Gd  0.0132  0.0132  0.0265  7.25
Rh  0.6842  0.6842  0.3684  0.09
Zr  0.3026  0.3026  0.6052  0.25


[6]
A plane-wave DFT calculation with PBE-GGA was carried out for an optimized crystal structure of LaPm4Er4.

Energy of formation from the pure elements: 0.20 eV per formula unit
Space-group type: No. 139
Magnetization: 0.00 μB/f.u.
Total energy: -4.66 eV per atom

Lattice parameters (Å, degrees): 5.0689 8.0560 8.0560 84.32 71.66 71.66
Sites, in units of the cell vectors:
La  0.0000  0.0000  0.0000
Er  0.3322  0.0000  0.3356
Pm  0.0001  0.3318  0.6680
Pm  0.3319  0.6680  0.6682
Er  0.6678  0.6644  0.0000
Er  0.6678  0.0000  0.6644
Pm  0.6681  0.3320  0.3318
Pm  0.9999  0.6682  0.3320
Er  0.3322  0.3356  0.0000


[7]
A plane-wave DFT calculation with PBE-GGA was carried out for an optimized crystal structure of OsRh2Cl.

Formation energy from raw total energies: 919 meV/atom
Space-group type: No. 47
Magnetization: 0.88 μB/f.u.
Total energy: -6.03 eV per atom
Excess energy over the best structure of this formula in the dataset: 0.637 eV/atom

Lattice parameters (Å, degrees): 2.7643 4.6573 4.6368 90.00 90.00 90.00
Last column: magnetic moment on the atom in μB.
Sites, in units of the cell vectors:
Rh  0.0000  0.0000  0.0000  0.23
Os  0.0000  0.5000  0.5000  0.48
Cl  0.5000  0.0000  0.5000  0.02
Rh  0.5000  0.5000  0.0000  0.13


[8]
A plane-wave DFT calculation with PBE-GGA was carried out for an optimized crystal structure of NdEuLuIn.

Energy of formation from the pure elements: -0.43 eV per formula unit
Space-group type: No. 216
Magnetization: 7.56 μB/f.u.
Total energy: -5.68 eV per atom

Lattice parameters (Å, degrees): 5.5388 5.5388 5.5388 60.00 60.00 60.00
Last column: magnetic moment on the atom in μB.
Sites, in units of the cell vectors:
Lu  0.0000  0.0000  0.0000  0.14
In  0.2500  0.2500  0.2500  -0.02
Nd  0.5000  0.5000  0.5000  0.12
Eu  0.7500  0.7500  0.7500  6.91


[9]
A plane-wave DFT calculation with PBE-GGA was carried out for an optimized crystal structure of AcPm3Co.

Energy of formation from the pure elements: -0.23 eV per formula unit
Space-group type: No. 12
Magnetization: 0.00 μB/f.u.
Total energy: -5.14 eV per atom
Excess energy over the best structure of this formula in the dataset: 0.000 eV/atom

Lattice parameters (Å, degrees): 7.4986 7.4986 7.4760 106.66 110.17 111.73
Sites, in units of the cell vectors:
Pm  0.1609  0.9537  0.7001
Pm  0.7036  0.4584  0.1620
Co  0.6478  0.7475  0.3953
Co  0.3522  0.2525  0.6047
Pm  0.7464  0.5392  0.7001
Pm  0.2536  0.4608  0.2999
Pm  0.2964  0.5416  0.8380
Ac  0.2819  0.9524  0.2343
Pm  0.8391  0.0463  0.2999
Ac  0.7181  0.0476  0.7657


[10]
A plane-wave DFT calculation with PBE-GGA was carried out for an optimized crystal structure of MgPaInAg.

Energy of formation from the pure elements: 0.24 eV per formula unit
Space-group type: No. 216
Magnetization: 0.93 μB/f.u.
Total energy: -4.11 eV per atom

Lattice parameters (Å, degrees): 5.0877 5.0877 5.0877 60.00 60.00 60.00
Last column: magnetic moment on the atom in μB.
Sites, in units of the cell vectors:
In  0.7500  0.7500  0.7500  0.01
Mg  0.5000  0.5000  0.5000  0.00
Pa  0.0000  0.0000  0.0000  0.78
Ag  0.2500  0.2500  0.2500  0.01


[11]
A plane-wave DFT calculation with PBE-GGA was carried out for an optimized crystal structure of ErBO3.

Formation energy from raw total energies: -3087 meV/atom
Space-group type: No. 2
Magnetization: 0.00 μB/f.u.
Total energy: -8.31 eV per atom

Lattice parameters (Å, degrees): 7.1805 8.9798 9.8416 81.34 85.65 77.40
Sites, in units of the cell vectors:
O  0.1499  0.5872  0.4657
Er  0.5641  0.5588  0.6564
B  0.1155  0.2561  0.9485
B  0.8845  0.7439  0.0515
Er  0.7507  0.9576  0.5190
Er  0.5732  0.0567  0.1553
O  0.8466  0.9102  0.0356
O  0.2446  0.6165  0.7371
O  0.4339  0.3681  0.5840
O  0.4086  0.8130  0.6317
O  0.2462  0.1167  0.2396
O  0.8501  0.4128  0.5343
O  0.2680  0.8178  0.3636
O  0.9182  0.6654  0.9194
Er  0.0974  0.9327  0.1631
O  0.2718  0.3238  0.8724
B  0.4782  0.2852  0.9217
O  0.9349  0.8139  0.3702
B  0.7805  0.2172  0.3082
O  0.1567  0.8755  0.8022
O  0.5251  0.6890  0.9292
O  0.4749  0.3110  0.0708
B  0.1687  0.2720  0.2059
O  0.9417  0.3181  0.8733
O  0.0797  0.8389  0.5722
O  0.5914  0.1870  0.3683
O  0.5465  0.9071  0.3742
Er  0.2623  0.5590  0.9726
O  0.4535  0.0929  0.6258
O  0.0818  0.3346  0.0806
B  0.2195  0.7828  0.6918
B  0.5337  0.2201  0.6135
B  0.4663  0.7799  0.3865
Er  0.4359  0.4412  0.3436
Er  0.2493  0.0424  0.4810
Er  0.9026  0.0673  0.8369
O  0.8314  0.6298  0.6994
O  0.7554  0.3835  0.2629
O  0.9203  0.1611  0.4278
O  0.8433  0.1245  0.1978
O  0.4342  0.5927  0.1498
O  0.5715  0.1274  0.9115
Er  0.9027  0.5641  0.3290
O  0.5661  0.6319  0.4160
O  0.7538  0.8833  0.7604
O  0.1686  0.3702  0.3006
Er  0.0973  0.4360  0.6710
O  0.0583  0.6819  0.1267
O  0.1534  0.0898  0.9644
B  0.8313  0.7280  0.7941
O  0.7320  0.1822  0.6364
O  0.0651  0.1861  0.6298
O  0.4285  0.8726  0.0885
Er  0.4268  0.9433  0.8447
O  0.5658  0.4073  0.8502
Er  0.7377  0.4410  0.0274
B  0.1066  0.7522  0.4478
O  0.7282  0.6762  0.1276
B  0.5218  0.7148  0.0783
B  0.8934  0.2478  0.5522


[12]
A plane-wave DFT calculation with PBE-GGA was carried out for an optimized crystal structure of CsMg5Pb2.

Energy of formation from the pure elements: -0.49 eV per formula unit
Space-group type: No. 71
Magnetization: 0.00 μB/f.u.
Total energy: -2.09 eV per atom

Lattice parameters (Å, degrees): 4.7834 7.6899 7.6899 68.45 71.88 71.88
Sites, in units of the cell vectors:
Pb  0.7521  0.7479  0.7479
Mg  0.3581  0.4614  0.8224
Pb  0.2479  0.2521  0.2521
Mg  0.0000  0.5000  0.5000
Mg  0.6419  0.1776  0.5386
Mg  0.3581  0.8224  0.4614
Mg  0.6419  0.5386  0.1776
Cs  0.0000  0.0000  0.0000


[13]
A plane-wave DFT calculation with PBE-GGA was carried out for an optimized crystal structure of RbGaSi2Tc.

Formation energy from raw total energies: 38 meV/atom
Space-group type: No. 123
Magnetization: 0.00 μB/f.u.
Total energy: -5.00 eV per atom

Lattice parameters (Å, degrees): 4.7488 4.9499 4.7488 90.00 90.00 90.00
Sites, in units of the cell vectors:
Tc  0.0000  0.0000  0.0000
Rb  0.5000  0.5000  0.5000
Ga  0.0000  0.5000  0.0000
Si  0.0000  0.0000  0.5000
Si  0.5000  0.0000  0.0000


[14]
A plane-wave DFT calculation with PBE-GGA was carried out for an optimized crystal structure of CePr4Ho7.

Energy of formation from the pure elements: 1.28 eV per formula unit
Space-group type: No. 2
Magnetization: 1.15 μB/f.u.
Total energy: -4.65 eV per atom
Excess energy over the best structure of this formula in the dataset: 0.000 eV/atom

Lattice parameters (Å, degrees): 6.8781 8.8079 9.1141 84.62 95.56 47.83
Last column: magnetic moment on the atom in μB.
Sites, in units of the cell vectors:
Ho  0.7098  0.1858  0.3817  -0.01
Ho  0.7375  0.5102  0.9512  0.03
Ho  0.0167  0.6775  0.3585  0.00
Pr  0.4600  0.3549  0.7181  0.03
Ho  0.2625  0.4898  0.0488  0.03
Ho  0.2902  0.8142  0.6183  -0.01
Pr  0.5400  0.6451  0.2819  0.03
Pr  0.2193  0.1685  0.3088  0.00
Ho  0.5000  0.0000  0.0000  0.05
Pr  0.7807  0.8315  0.6912  0.00
Ho  0.9833  0.3225  0.6415  0.00
Ce  0.0000  0.0000  0.0000  0.78


[15]
A plane-wave DFT calculation with PBE-GGA was carried out for an optimized crystal structure of Ta2BeP.

Energy of formation from the pure elements: -0.41 eV per formula unit
Space-group type: No. 99
Magnetization: 0.00 μB/f.u.
Total energy: -8.31 eV per atom
Excess energy over the best structure of this formula in the dataset: 0.546 eV/atom

Lattice parameters (Å, degrees): 2.9891 2.9891 6.4734 90.00 90.00 90.00
Sites, in units of the cell vectors:
Ta  0.5000  0.5000  0.3025
Ta  0.0000  0.0000  0.9450
Be  0.0000  0.0000  0.5453
P  0.5000  0.5000  0.7072


[16]
A plane-wave DFT calculation with PBE-GGA was carried out for an optimized crystal structure of BeGa.

Energy of formation from the pure elements: 0.40 eV per formula unit
Space-group type: No. 2
Magnetization: 0.00 μB/f.u.
Total energy: -3.18 eV per atom
Excess energy over the best structure of this formula in the dataset: 0.042 eV/atom

Lattice parameters (Å, degrees): 2.6811 2.6068 8.0075 98.87 106.03 90.05
Sites, in units of the cell vectors:
Ga  0.0023  0.9170  0.8275
Ga  0.9977  0.0830  0.1725
Be  0.6821  0.7097  0.4149
Be  0.3179  0.2903  0.5851


[17]
A plane-wave DFT calculation with PBE-GGA was carried out for an optimized crystal structure of PaIn2TcO8.

Formation energy from raw total energies: -2042 meV/atom
Space-group type: No. 65
Magnetization: 2.00 μB/f.u.
Total energy: -7.46 eV per atom

Lattice parameters (Å, degrees): 4.9346 4.9321 6.6398 90.00 90.00 91.21
Last column: magnetic moment on the atom in μB.
Sites, in units of the cell vectors:
Pa  0.0000  0.0000  0.5000  0.06
O  0.6936  0.6945  0.5000  0.01
Tc  0.0000  0.0000  0.0000  1.50
O  0.8134  0.1874  0.2298  0.05
O  0.3064  0.3055  0.5000  0.01
O  0.2827  0.2820  0.0000  0.01
In  0.5000  0.5000  0.7594  0.03
O  0.8134  0.1874  0.7702  0.05
O  0.1866  0.8126  0.7702  0.05
O  0.1866  0.8126  0.2298  0.05
O  0.7173  0.7180  0.0000  0.01
In  0.5000  0.5000  0.2406  0.03


[18]
A plane-wave DFT calculation with PBE-GGA was carried out for an optimized crystal structure of Ho2Al5Au.

Energy of formation from the pure elements: -3.76 eV per formula unit
Space-group type: No. 139
Magnetization: 0.00 μB/f.u.
Total energy: -4.36 eV per atom

Lattice parameters (Å, degrees): 6.0118 6.0118 6.0118 90.65 119.63 119.63
Sites, in units of the cell vectors:
Al  0.0000  0.7776  0.2780
Ho  0.5000  0.7778  0.2778
Al  0.0000  0.2780  0.7776
Al  0.0000  0.2774  0.2774
Al  0.5004  0.2780  0.2780
Al  0.4996  0.7776  0.7776
Au  0.0000  0.7778  0.7778
Ho  0.5000  0.2778  0.7778


[19]
A plane-wave DFT calculation with PBE-GGA was carried out for an optimized crystal structure of LiMg2Ta.

Energy of formation from the pure elements: 1.76 eV per formula unit
Space-group type: No. 71
Magnetization: 0.38 μB/f.u.
Total energy: -3.80 eV per atom
Excess energy over the best structure of this formula in the dataset: 0.296 eV/atom

Lattice parameters (Å, degrees): 5.8004 5.8004 5.8004 150.97 128.58 60.13
Last column: magnetic moment on the atom in μB.
Sites, in units of the cell vectors:
Mg  0.0203  0.0203  0.0000  0.00
Ta  0.7500  0.2500  0.5000  0.21
Li  0.2500  0.7500  0.5000  0.01
Mg  0.4797  0.4797  0.0000  0.00


[20]
A plane-wave DFT calculation with PBE-GGA was carried out for an optimized crystal structure of Y3TlRh2.

Energy of formation from the pure elements: -4.04 eV per formula unit
Space-group type: No. 123
Magnetization: 0.00 μB/f.u.
Total energy: -6.75 eV per atom

Lattice parameters (Å, degrees): 3.4008 3.4008 11.9235 90.00 90.00 90.00
Sites, in units of the cell vectors:
Y  0.0000  0.0000  0.2928
Rh  0.5000  0.5000  0.8495
Tl  0.5000  0.5000  0.5000
Y  0.0000  0.0000  0.7072
Y  0.0000  0.0000  0.0000
Rh  0.5000  0.5000  0.1505